Record 1
The following is a DFT calculation (PBE) of a geometry-optimized DyYBr3N structure.

Lattice parameters (Å, degrees): 9.6748 9.6748 11.8632 125.73 125.73 23.12
Closest atoms and distances in Å follow each position.
Atoms (fractional coordinates):
Y (0.8644, 0.8644, 0.2156)  2 N 2.32
Y (0.1356, 0.1356, 0.7844)  2 N 2.32
N (0.4253, 0.4253, 0.3465)  2 Dy 2.24-2.25, 2 Y 2.32
N (0.5747, 0.5747, 0.6535)  2 Dy 2.24-2.25, 2 Y 2.32
Dy (0.5717, 0.5717, 0.4617)  2 N 2.24-2.25
Dy (0.4283, 0.4283, 0.5383)  2 N 2.24-2.25
Br (0.6714, 0.6714, 0.0094)  3 Y 2.95-3.03
Br (0.2108, 0.2108, 0.6202)  2 Dy 2.89, 1 Y 3.02
Br (0.0330, 0.0330, 0.2509)  2 Dy 2.89, 1 Y 2.97
Br (0.3286, 0.3286, 0.9906)  3 Y 2.95-3.03
Br (0.9670, 0.9670, 0.7491)  2 Dy 2.89, 1 Y 2.97
Br (0.7892, 0.7892, 0.3798)  2 Dy 2.89, 1 Y 3.02

Values from the calculation:
Crystal system = monoclinic
Energy relative to the lowest polymorph listed for this composition = 0 meV/atom
VASP energy = -0.217 Ha/atom


Record 2
The following is a DFT calculation (PBE) of a geometry-optimized DyYBr2N structure.

Lattice parameters (Å, degrees): 3.6663 3.6663 10.4351 90.00 90.00 120.00
Closest atoms and distances in Å follow each position.
Atoms (fractional coordinates):
Y (0.6667, 0.3333, 0.3764)  3 N 2.48
Br (0.0000, 0.0000, 0.1903)  3 Y 2.87
Br (0.6667, 0.3333, 0.8096)  3 Dy 2.87
Dy (0.0000, 0.0000, 0.6235)  3 N 2.48
N (0.3333, 0.6667, 0.5002)  3 Dy 2.48, 3 Y 2.48

Values from the calculation:
Crystal system = trigonal
VASP energy = -0.231 Ha/atom


Record 3
The following is a DFT calculation (PBE) of a geometry-optimized DyYBr3N structure.

Lattice parameters (Å, degrees): 9.5021 9.5021 11.7238 124.95 124.95 23.48
Closest atoms and distances in Å follow each position.
Atoms (fractional coordinates):
Y (0.4270, 0.4270, 0.5392)  2 N 2.25
Y (0.5730, 0.5730, 0.4608)  2 N 2.25
Br (0.7864, 0.7864, 0.3802)  2 Y 2.89, 1 Dy 3.02
Br (0.6701, 0.6701, 0.0103)  3 Dy 2.94-3.03
Br (0.2136, 0.2136, 0.6198)  2 Y 2.89, 1 Dy 3.02
Br (0.9652, 0.9652, 0.7516)  2 Y 2.89, 1 Dy 2.96
Br (0.3299, 0.3299, 0.9897)  3 Dy 2.94-3.03
Br (0.0348, 0.0348, 0.2484)  2 Y 2.89, 1 Dy 2.96
Dy (0.8641, 0.8641, 0.2150)  2 N 2.31
Dy (0.1359, 0.1359, 0.7850)  2 N 2.31
N (0.5753, 0.5753, 0.6546)  2 Y 2.25, 2 Dy 2.31
N (0.4247, 0.4247, 0.3454)  2 Y 2.25, 2 Dy 2.31

Values from the calculation:
Crystal system = monoclinic
Energy relative to the lowest polymorph listed for this composition = 3 meV/atom
VASP energy = -0.217 Ha/atom


Record 4
The following is a DFT calculation (PBE) of a geometry-optimized Na3DyBr6 structure.

Lattice parameters (Å, degrees): 7.3441 7.3441 13.3227 90.00 90.00 120.01
Closest atoms and distances in Å follow each position.
Atoms (fractional coordinates):
Na (0.6666, 0.3333, 0.5361)  6 Br 2.91-3.11
Na (0.3333, 0.6666, 0.0361)  6 Br 2.91-3.11
Na (0.0000, 0.0000, 0.2500)  6 Br 2.97
Na (0.3334, 0.6667, 0.4639)  6 Br 2.91-3.11
Na (0.6667, 0.3334, 0.9639)  6 Br 2.91-3.11
Na (0.0000, 0.0000, 0.7500)  6 Br 2.97
Dy (0.3334, 0.6666, 0.7500)  6 Br 2.80
Dy (0.6666, 0.3334, 0.2500)  6 Br 2.80
Br (0.6855, 0.0371, 0.1246)  1 Dy 2.80, 3 Na 2.91-3.11
Br (0.9629, 0.6483, 0.1247)  1 Dy 2.80, 3 Na 2.91-3.10
Br (0.3517, 0.0371, 0.3753)  1 Dy 2.80, 3 Na 2.91-3.10
Br (0.3145, 0.3518, 0.6247)  1 Dy 2.80, 3 Na 2.91-3.10
Br (0.6482, 0.6855, 0.8753)  1 Dy 2.80, 3 Na 2.91-3.10
Br (0.0371, 0.6855, 0.6246)  1 Dy 2.80, 3 Na 2.91-3.11
Br (0.6855, 0.6482, 0.3753)  1 Dy 2.80, 3 Na 2.91-3.10
Br (0.3145, 0.9629, 0.8754)  1 Dy 2.80, 3 Na 2.91-3.11
Br (0.9629, 0.3145, 0.3754)  1 Dy 2.80, 3 Na 2.91-3.11
Br (0.3518, 0.3145, 0.1247)  1 Dy 2.80, 3 Na 2.91-3.10
Br (0.6483, 0.9629, 0.6247)  1 Dy 2.80, 3 Na 2.91-3.10
Br (0.0371, 0.3517, 0.8753)  1 Dy 2.80, 3 Na 2.91-3.10

Values from the calculation:
Crystal system = trigonal
VASP energy = -0.130 Ha/atom


Record 5
The following is a DFT calculation (PBE) of a geometry-optimized NaDyBr4 structure.

Lattice parameters (Å, degrees): 6.7178 8.1795 7.1654 90.00 92.15 90.00
Closest atoms and distances in Å follow each position.
Atoms (fractional coordinates):
Dy (0.0000, 0.6536, 0.7500)  6 Br 2.72-2.90
Dy (0.0000, 0.3464, 0.2500)  6 Br 2.72-2.90
Br (0.2314, 0.6038, 0.4336)  2 Dy 2.83-2.90, 1 Na 3.06
Br (0.7489, 0.1209, 0.0922)  1 Dy 2.72, 2 Na 2.92-3.00
Br (0.7686, 0.6038, 0.0664)  2 Dy 2.83-2.90, 1 Na 3.06
Br (0.2511, 0.8791, 0.9078)  1 Dy 2.72, 2 Na 2.92-3.00
Br (0.7489, 0.8791, 0.5922)  1 Dy 2.72, 2 Na 2.92-3.00
Br (0.2314, 0.3962, 0.9336)  2 Dy 2.83-2.90, 1 Na 3.06
Br (0.7686, 0.3962, 0.5664)  2 Dy 2.83-2.90, 1 Na 3.06
Br (0.2511, 0.1209, 0.4078)  1 Dy 2.72, 2 Na 2.92-3.00
Na (0.5000, 0.8541, 0.2500)  6 Br 2.92-3.06
Na (0.5000, 0.1459, 0.7500)  6 Br 2.92-3.06

Values from the calculation:
Crystal system = monoclinic
VASP energy = -0.142 Ha/atom


Record 6
The following is a DFT calculation (PBE) of a geometry-optimized DyNbBr2O2 structure.

Lattice parameters (Å, degrees): 3.7488 3.7488 8.3061 90.00 90.00 90.00
Closest atoms and distances in Å follow each position.
Atoms (fractional coordinates):
Dy (0.0000, 0.0000, 0.8627)  4 O 2.22
Br (0.0000, 0.0000, 0.3243)  4 Nb 3.09, 4 O 3.24
Br (0.5000, 0.5000, 0.6676)  4 Dy 3.11, 4 O 3.38
O (0.0000, 0.5000, 0.0061)  2 Nb 2.15, 2 Dy 2.22
O (0.5000, 0.0000, 0.0061)  2 Nb 2.15, 2 Dy 2.22
Nb (0.5000, 0.5000, 0.1333)  4 O 2.15

Values from the calculation:
Crystal system = tetragonal
VASP energy = -0.246 Ha/atom


Record 7
The following is a DFT calculation (PBE) of a geometry-optimized DyNbS2Br2 structure.

Lattice parameters (Å, degrees): 3.7335 5.1649 8.7206 90.00 90.00 90.00
Closest atoms and distances in Å follow each position.
Atoms (fractional coordinates):
Br (0.0000, 0.5000, 0.6717)  2 Nb 2.68
Br (0.5000, 0.0000, 0.3491)  2 Dy 2.80
Dy (0.0000, 0.0000, 0.1100)  4 S 2.59-2.72, 2 Br 2.80
S (0.0000, 0.5000, 0.0926)  2 Nb 2.55, 2 Dy 2.59
S (0.5000, 0.0000, 0.8836)  2 Nb 2.58, 2 Dy 2.72
Nb (0.5000, 0.5000, 0.8929)  4 S 2.55-2.58, 2 Br 2.68

Values from the calculation:
Crystal system = orthorhombic
VASP energy = -0.210 Ha/atom


Record 8
The following is a DFT calculation (PBE) of a geometry-optimized NdDyBr2O2 structure.

Lattice parameters (Å, degrees): 3.8957 3.8957 8.4330 90.00 90.00 90.00
Closest atoms and distances in Å follow each position.
Atoms (fractional coordinates):
O (0.5000, 0.0000, 0.9941)  2 Dy 2.24, 2 Nd 2.32
O (0.0000, 0.5000, 0.9941)  2 Dy 2.24, 2 Nd 2.32
Nd (0.5000, 0.5000, 0.1429)  4 O 2.32
Br (0.5000, 0.5000, 0.6689)  4 Dy 3.20, 4 O 3.36
Br (0.0000, 0.0000, 0.3367)  4 Nd 3.20, 4 O 3.48
Dy (0.0000, 0.0000, 0.8632)  4 O 2.24

Values from the calculation:
Crystal system = tetragonal
VASP energy = -0.245 Ha/atom


Record 9
The following is a DFT calculation (PBE) of a geometry-optimized NdDySbBr2 structure.

Lattice parameters (Å, degrees): 4.2898 4.2898 10.9473 90.00 90.00 120.00
Closest atoms and distances in Å follow each position.
Atoms (fractional coordinates):
Dy (0.0000, 0.0000, 0.8382)  3 Br 2.99, 3 Sb 3.00
Br (0.3333, 0.6667, 0.6847)  3 Dy 2.99
Br (0.0000, 0.0000, 0.3241)  3 Nd 3.05
Sb (0.6667, 0.3333, 0.9921)  3 Dy 3.00, 3 Nd 3.09
Nd (0.3333, 0.6667, 0.1610)  3 Br 3.05, 3 Sb 3.09

Values from the calculation:
Crystal system = trigonal
VASP energy = -0.179 Ha/atom


Record 10
The following is a DFT calculation (PBE) of a geometry-optimized DyBrO4 structure.

Lattice parameters (Å, degrees): 6.4161 6.4161 5.0110 109.26 109.26 115.38
Closest atoms and distances in Å follow each position.
Atoms (fractional coordinates):
O (0.1722, 0.2715, 0.2746)  1 Br 1.98, 1 Dy 2.22
O (0.7285, 0.8278, 0.2254)  1 Br 1.98, 1 Dy 2.22
O (0.8278, 0.7285, 0.7254)  1 Br 1.98, 1 Dy 2.22
O (0.4406, 0.8357, 0.6514)  1 Br 1.74
O (0.1643, 0.5594, 0.8486)  1 Br 1.74
O (0.2715, 0.1722, 0.7746)  1 Br 1.98, 1 Dy 2.22
O (0.8357, 0.4406, 0.1514)  1 Br 1.74
O (0.5594, 0.1643, 0.3486)  1 Br 1.74
Dy (0.8772, 0.1228, 0.7500)  6 O 2.22-2.37
Dy (0.1228, 0.8772, 0.2500)  6 O 2.22-2.37
Br (0.4075, 0.5925, 0.7500)  2 O 1.74
Br (0.5925, 0.4075, 0.2500)  2 O 1.74

Values from the calculation:
Crystal system = monoclinic
VASP energy = -0.207 Ha/atom


Record 11
The following is a DFT calculation (PBE) of a geometry-optimized DyBrO structure.

Lattice parameters (Å, degrees): 9.6850 9.6850 7.6077 93.78 93.78 23.61
Closest atoms and distances in Å follow each position.
Atoms (fractional coordinates):
Dy (0.6905, 0.6905, 0.1159)  4 O 2.23-2.24
Dy (0.3084, 0.3084, 0.3864)  4 O 2.22-2.27
Dy (0.3095, 0.3095, 0.8841)  4 O 2.23-2.24
Dy (0.6916, 0.6916, 0.6136)  4 O 2.22-2.27
O (0.7540, 0.7540, 0.8792)  4 Dy 2.23-2.27
O (0.7552, 0.7552, 0.3723)  4 Dy 2.22-2.26
O (0.2448, 0.2448, 0.6277)  4 Dy 2.22-2.26
O (0.2460, 0.2460, 0.1208)  4 Dy 2.23-2.27
Br (0.5785, 0.5785, 0.8425)  2 Dy 2.85-2.87
Br (0.8958, 0.8958, 0.6492)  4 Dy 3.19-3.20, 4 O 3.28-3.48
Br (0.4215, 0.4215, 0.1575)  2 Dy 2.85-2.87
Br (0.1042, 0.1042, 0.3508)  4 Dy 3.19-3.20, 4 O 3.28-3.48

Values from the calculation:
Crystal system = monoclinic
VASP energy = -0.245 Ha/atom


Record 12
The following is a DFT calculation (PBE) of a geometry-optimized PrDyBr2O2 structure.

Lattice parameters (Å, degrees): 3.9128 3.9128 8.4538 90.00 90.00 90.00
Closest atoms and distances in Å follow each position.
Atoms (fractional coordinates):
Dy (0.5000, 0.5000, 0.1367)  4 O 2.24
Br (0.0000, 0.0000, 0.3316)  4 Dy 3.22, 4 O 3.37
Br (0.5000, 0.5000, 0.6627)  4 Pr 3.21, 4 O 3.51
Pr (0.0000, 0.0000, 0.8555)  4 O 2.34
O (0.0000, 0.5000, 0.0068)  2 Dy 2.24, 2 Pr 2.34
O (0.5000, 0.0000, 0.0068)  2 Dy 2.24, 2 Pr 2.34

Values from the calculation:
Crystal system = tetragonal
VASP energy = -0.244 Ha/atom